1.
A plane-wave DFT calculation with PBE was carried out for crystalline La3Au2 at its relaxed geometry.

abc: 9.7466 9.7466 9.7466
angles: 156.00 156.00 34.20
Fractional positions:
La1 0.0000 0.0000 0.0000
La2 0.3663 0.3663 0.0000
La3 0.6337 0.6337 0.0000
Au1 0.1965 0.1965 0.0000
Au2 0.8035 0.8035 0.0000

ΔE_f in eV/atom: -0.48
Relative energy among the computed polymorphs in meV per atom: 164.4



2.
A plane-wave DFT calculation with PBE was carried out for crystalline Ho3Tl4CrSe8 at its relaxed geometry.

abc: 9.0753 9.0753 9.0753
angles: 53.44 53.44 53.44
Fractional positions:
Ho1 0.0000 0.5000 0.5000
Ho2 0.5000 0.0000 0.5000
Ho3 0.5000 0.5000 0.0000
Tl1 0.0000 0.0000 0.5000
Tl2 0.0000 0.5000 0.0000
Tl3 0.5000 0.0000 0.0000
Tl4 0.5000 0.5000 0.5000
Cr1 0.0000 0.0000 0.0000
Se1 0.2210 0.2210 0.7527
Se2 0.2210 0.7527 0.2210
Se3 0.2473 0.7790 0.7790
Se4 0.2645 0.2645 0.2645
Se5 0.7355 0.7355 0.7355
Se6 0.7527 0.2210 0.2210
Se7 0.7790 0.2473 0.7790
Se8 0.7790 0.7790 0.2473

Energy relative to the elements, uncorrected in eV per formula unit: -17.87



3.
A plane-wave DFT calculation with PBE was carried out for crystalline Li12Cu3H5 at its relaxed geometry.

abc: 11.0855 11.0855 11.0855
angles: 109.47 109.47 109.47
Fractional positions:
Li1 0.0114 0.1964 0.1120
Li2 0.0114 0.3149 0.8993
Li3 0.0844 0.6964 0.6851
Li4 0.0844 0.8880 0.3993
Li5 0.1007 0.6120 0.4156
Li6 0.1007 0.9886 0.6851
Li7 0.1120 0.0114 0.1964
Li8 0.1120 0.6007 0.9156
Li9 0.1851 0.1964 0.5844
Li10 0.1851 0.4886 0.6007
Li11 0.1964 0.1120 0.0114
Li12 0.1964 0.5844 0.1851
Li13 0.3036 0.3149 0.9156
Li14 0.3036 0.4886 0.3880
Li15 0.3149 0.8993 0.0114
Li16 0.3149 0.9156 0.3036
Li17 0.3880 0.3036 0.4886
Li18 0.3880 0.5844 0.8993
Li19 0.3993 0.0844 0.8880
Li20 0.3993 0.8149 0.5114
Li21 0.4156 0.1007 0.6120
Li22 0.4156 0.8149 0.8036
Li23 0.4886 0.3880 0.3036
Li24 0.4886 0.6007 0.1851
Li25 0.5114 0.3993 0.8149
Li26 0.5114 0.6120 0.6964
Li27 0.5844 0.1851 0.1964
Li28 0.5844 0.8993 0.3880
Li29 0.6007 0.1851 0.4886
Li30 0.6007 0.9156 0.1120
Li31 0.6120 0.4156 0.1007
Li32 0.6120 0.6964 0.5114
Li33 0.6851 0.0844 0.6964
Li34 0.6851 0.1007 0.9886
Li35 0.6964 0.5114 0.6120
Li36 0.6964 0.6851 0.0844
Li37 0.8036 0.4156 0.8149
Li38 0.8036 0.8880 0.9886
Li39 0.8149 0.5114 0.3993
Li40 0.8149 0.8036 0.4156
Li41 0.8880 0.3993 0.0844
Li42 0.8880 0.9886 0.8036
Li43 0.8993 0.0114 0.3149
Li44 0.8993 0.3880 0.5844
Li45 0.9156 0.1120 0.6007
Li46 0.9156 0.3036 0.3149
Li47 0.9886 0.6851 0.1007
Li48 0.9886 0.8036 0.8880
Cu1 0.1250 0.2500 0.3750
Cu2 0.1250 0.3750 0.7500
Cu3 0.2500 0.3750 0.1250
Cu4 0.2500 0.8750 0.6250
Cu5 0.3750 0.1250 0.2500
Cu6 0.3750 0.7500 0.1250
Cu7 0.6250 0.2500 0.8750
Cu8 0.6250 0.8750 0.7500
Cu9 0.7500 0.1250 0.3750
Cu10 0.7500 0.6250 0.8750
Cu11 0.8750 0.6250 0.2500
Cu12 0.8750 0.7500 0.6250
H1 0.0000 0.0000 0.0000
H2 0.0000 0.0000 0.5000
H3 0.0000 0.5000 0.0000
H4 0.0000 0.5000 0.5000
H5 0.1250 0.7500 0.8750
H6 0.1250 0.8750 0.2500
H7 0.2500 0.1250 0.8750
H8 0.2500 0.6250 0.3750
H9 0.3750 0.2500 0.6250
H10 0.3750 0.6250 0.7500
H11 0.5000 0.0000 0.0000
H12 0.5000 0.0000 0.5000
H13 0.5000 0.5000 0.0000
H14 0.5000 0.5000 0.5000
H15 0.6250 0.3750 0.2500
H16 0.6250 0.7500 0.3750
H17 0.7500 0.3750 0.6250
H18 0.7500 0.8750 0.1250
H19 0.8750 0.1250 0.7500
H20 0.8750 0.2500 0.1250

Uncorrected energy in eV for the cell shown: -212.50